{"formula": "Cs2Er3AgF12", "functional": "PBE-GGA", "state": "relaxed", "cell": [[4.175, 2.411, 6.434], [-4.175, 2.411, 6.434], [0.000, -4.821, 6.434]], "species": ["Cs", "Cs", "Er", "Er", "Er", "Ag", "F", "F", "F", "F", "F", "F", "F", "F", "F", "F", "F", "F"], "fractional_positions": [[0.135, 0.135, 0.135], [0.865, 0.865, 0.865], [0.000, 0.500, 0.500], [0.500, 0.000, 0.500], [0.500, 0.500, 0.000], [0.500, 0.500, 0.500], [0.121, 0.605, 0.605], [0.203, 0.203, 0.579], [0.203, 0.579, 0.203], [0.395, 0.395, 0.879], [0.395, 0.879, 0.395], [0.421, 0.797, 0.797], [0.579, 0.203, 0.203], [0.605, 0.121, 0.605], [0.605, 0.605, 0.121], [0.797, 0.421, 0.797], [0.797, 0.797, 0.421], [0.879, 0.395, 0.395]], "sg": "R-3m, No. 166", "vol_a3_per_cell": 388.58, "crystal_system": "trigonal", "e_tot_ev_per_atom": -5.74, "raw_formation_energy_ev_per_atom": -3.480, "rho_kg_m3": 4715}